# ZrInIr

A relaxed ZrInIr crystal (PBE-GGA, Alexandria via LeMat-Bulk).

## Properties
Its space-group type is I4mm. Its crystal system is tetragonal.

a b c (Å): 6.1755 6.1755 6.1755
angles (deg): 150.18 150.18 42.68
Fractional positions:
Zr  0.0000  0.0000  0.0000
In  0.6973  0.6973  0.0000
Ir  0.3573  0.3573  0.0000

---

# Zr11In9Ir4

A relaxed Zr11In9Ir4 crystal (PBE-GGA, Alexandria via LeMat-Bulk).

## Properties
Its space-group type is Cmmm. Its crystal system is orthorhombic.

a b c (Å): 12.7500 12.7500 3.3809
angles (deg): 90.00 90.00 112.27
Fractional positions:
Zr  0.0000  0.0000  0.0000
Zr  0.0667  0.4148  0.0000
Zr  0.1525  0.8475  0.0000
Zr  0.3145  0.3145  0.0000
Zr  0.3758  0.6242  0.0000
Zr  0.4148  0.0667  0.0000
Zr  0.5852  0.9333  0.0000
Zr  0.6242  0.3758  0.0000
Zr  0.6855  0.6855  0.0000
Zr  0.8475  0.1525  0.0000
Zr  0.9333  0.5852  0.0000
In  0.0724  0.2167  0.5000
In  0.1553  0.6361  0.5000
In  0.2167  0.0724  0.5000
In  0.3639  0.8447  0.5000
In  0.5000  0.5000  0.5000
In  0.6361  0.1553  0.5000
In  0.7833  0.9276  0.5000
In  0.8447  0.3639  0.5000
In  0.9276  0.7833  0.5000
Ir  0.2434  0.4493  0.5000
Ir  0.4493  0.2434  0.5000
Ir  0.5507  0.7566  0.5000
Ir  0.7566  0.5507  0.5000

---

| no. | total magnetization (μB/cell) | raw total energy (Ha/atom) |
| --- | --- | --- |
| 1 | 0.0 | -0.2630 |
| 2 | 0.0 | -0.2547 |